(1)
TbPu2Tl3 | GGA-PBE | optimized geometry

Structure (CIF):
```
data_TbPu2Tl3
_cell_length_a 3.376
_cell_length_b 3.376
_cell_length_c 14.217
_cell_angle_alpha 90.00
_cell_angle_beta 90.00
_cell_angle_gamma 90.00
_space_group_name_H-M_alt 'P 1'
_space_group_IT_number 1
_space_group_name_Hall 'P 1'
loop_
_atom_site_label
_atom_site_fract_x
_atom_site_fract_y
_atom_site_fract_z
Tb1 0.000 0.000 0.000
Pu1 0.000 0.000 0.332
Pu2 0.000 0.000 0.668
Tl1 0.500 0.500 0.164
Tl2 0.500 0.500 0.500
Tl3 0.500 0.500 0.836
```



(2)
Tb2PuTl | GGA-PBE | optimized geometry

Output
**Energy above the lowest structure with this stoichiometry**: 0.000 eV/atom

Structure (CIF):
```
data_Tb2PuTl
_cell_length_a 4.938
_cell_length_b 4.938
_cell_length_c 4.606
_cell_angle_alpha 90.00
_cell_angle_beta 90.00
_cell_angle_gamma 90.00
_space_group_name_H-M_alt 'P 1'
_space_group_IT_number 1
_space_group_name_Hall 'P 1'
loop_
_atom_site_label
_atom_site_fract_x
_atom_site_fract_y
_atom_site_fract_z
Tb1 0.000 0.500 0.000
Tb2 0.500 0.000 0.000
Pu1 0.000 0.000 0.500
Tl1 0.500 0.500 0.500
```



(3)
Tb2Pu2Tl3 | GGA-PBE | optimized geometry

Structure (CIF):
```
data_Tb2Pu2Tl3
_cell_length_a 11.891
_cell_length_b 11.891
_cell_length_c 3.451
_cell_angle_alpha 90.00
_cell_angle_beta 90.00
_cell_angle_gamma 157.20
_space_group_name_H-M_alt 'P 1'
_space_group_IT_number 1
_space_group_name_Hall 'P 1'
loop_
_atom_site_label
_atom_site_fract_x
_atom_site_fract_y
_atom_site_fract_z
Tb1 0.074 0.926 0.000
Tb2 0.926 0.074 0.000
Pu1 0.213 0.787 0.000
Pu2 0.787 0.213 0.000
Tl1 0.352 0.648 0.500
Tl2 0.500 0.500 0.500
Tl3 0.648 0.352 0.500
```



(4)
Tb2PuTl4 | GGA-PBE | optimized geometry

Structure (CIF):
```
data_Tb2PuTl4
_cell_length_a 5.263
_cell_length_b 5.263
_cell_length_c 7.577
_cell_angle_alpha 90.00
_cell_angle_beta 90.00
_cell_angle_gamma 90.00
_space_group_name_H-M_alt 'P 1'
_space_group_IT_number 1
_space_group_name_Hall 'P 1'
loop_
_atom_site_label
_atom_site_fract_x
_atom_site_fract_y
_atom_site_fract_z
Tb1 0.000 0.000 0.000
Tb2 0.500 0.500 0.500
Pu1 0.000 0.000 0.500
Tl1 0.000 0.500 0.229
Tl2 0.000 0.500 0.771
Tl3 0.500 0.000 0.229
Tl4 0.500 0.000 0.771
```



(5)
Tb12PuTl3 | GGA-PBE | optimized geometry

Structure (CIF):
```
data_Tb12PuTl3
_cell_length_a 4.858
_cell_length_b 4.858
_cell_length_c 19.815
_cell_angle_alpha 90.00
_cell_angle_beta 90.00
_cell_angle_gamma 90.00
_space_group_name_H-M_alt 'P 1'
_space_group_IT_number 1
_space_group_name_Hall 'P 1'
loop_
_atom_site_label
_atom_site_fract_x
_atom_site_fract_y
_atom_site_fract_z
Tb1 0.000 0.000 0.000
Tb2 0.000 0.000 0.248
Tb3 0.000 0.000 0.500
Tb4 0.000 0.000 0.752
Tb5 0.000 0.500 0.124
Tb6 0.000 0.500 0.374
Tb7 0.000 0.500 0.626
Tb8 0.000 0.500 0.876
Tb9 0.500 0.000 0.124
Tb10 0.500 0.000 0.374
Tb11 0.500 0.000 0.626
Tb12 0.500 0.000 0.876
Pu1 0.500 0.500 0.500
Tl1 0.500 0.500 0.000
Tl2 0.500 0.500 0.245
Tl3 0.500 0.500 0.755
```



(6)
Tb4PuTl7 | GGA-PBE | optimized geometry

Structure (CIF):
```
data_Tb4PuTl7
_cell_length_a 7.288
_cell_length_b 7.288
_cell_length_c 11.488
_cell_angle_alpha 120.57
_cell_angle_beta 120.57
_cell_angle_gamma 46.33
_space_group_name_H-M_alt 'P 1'
_space_group_IT_number 1
_space_group_name_Hall 'P 1'
loop_
_atom_site_label
_atom_site_fract_x
_atom_site_fract_y
_atom_site_fract_z
Tb1 0.085 0.085 0.282
Tb2 0.222 0.222 0.828
Tb3 0.778 0.778 0.172
Tb4 0.915 0.915 0.718
Pu1 0.500 0.500 0.500
Tl1 0.000 0.000 0.500
Tl2 0.134 0.134 0.043
Tl3 0.287 0.287 0.602
Tl4 0.419 0.419 0.173
Tl5 0.581 0.581 0.827
Tl6 0.713 0.713 0.398
Tl7 0.866 0.866 0.957
```



(7)
Tb5PuTl6 | GGA-PBE | optimized geometry

Structure (CIF):
```
data_Tb5PuTl6
_cell_length_a 9.336
_cell_length_b 9.336
_cell_length_c 5.382
_cell_angle_alpha 106.73
_cell_angle_beta 106.73
_cell_angle_gamma 119.95
_space_group_name_H-M_alt 'P 1'
_space_group_IT_number 1
_space_group_name_Hall 'P 1'
loop_
_atom_site_label
_atom_site_fract_x
_atom_site_fract_y
_atom_site_fract_z
Tb1 0.000 0.000 0.000
Tb2 0.169 0.831 0.500
Tb3 0.340 0.660 0.000
Tb4 0.660 0.340 0.000
Tb5 0.831 0.169 0.500
Pu1 0.500 0.500 0.500
Tl1 0.076 0.414 0.245
Tl2 0.240 0.240 0.740
Tl3 0.414 0.076 0.245
Tl4 0.586 0.924 0.755
Tl5 0.760 0.760 0.260
Tl6 0.924 0.586 0.755
```



(8)
TbTmPuTl | GGA-PBE | optimized geometry

Structure (CIF):
```
data_TbTmPuTl
_cell_length_a 5.431
_cell_length_b 5.431
_cell_length_c 5.431
_cell_angle_alpha 60.00
_cell_angle_beta 60.00
_cell_angle_gamma 60.00
_space_group_name_H-M_alt 'P 1'
_space_group_IT_number 1
_space_group_name_Hall 'P 1'
loop_
_atom_site_label
_atom_site_fract_x
_atom_site_fract_y
_atom_site_fract_z
Tb1 0.000 0.000 0.000
Tm1 0.250 0.250 0.250
Pu1 0.500 0.500 0.500
Tl1 0.750 0.750 0.750
```



(9)
TbYPuTl | GGA-PBE | optimized geometry

Structure (CIF):
```
data_TbYPuTl
_cell_length_a 5.435
_cell_length_b 5.435
_cell_length_c 5.435
_cell_angle_alpha 60.00
_cell_angle_beta 60.00
_cell_angle_gamma 60.00
_space_group_name_H-M_alt 'P 1'
_space_group_IT_number 1
_space_group_name_Hall 'P 1'
loop_
_atom_site_label
_atom_site_fract_x
_atom_site_fract_y
_atom_site_fract_z
Tb1 0.000 0.000 0.000
Y1 0.500 0.500 0.500
Pu1 0.750 0.750 0.750
Tl1 0.250 0.250 0.250
```



(10)
TbPuTlZn | GGA-PBE | optimized geometry

Structure (CIF):
```
data_TbPuTlZn
_cell_length_a 5.263
_cell_length_b 5.263
_cell_length_c 5.263
_cell_angle_alpha 60.00
_cell_angle_beta 60.00
_cell_angle_gamma 60.00
_space_group_name_H-M_alt 'P 1'
_space_group_IT_number 1
_space_group_name_Hall 'P 1'
loop_
_atom_site_label
_atom_site_fract_x
_atom_site_fract_y
_atom_site_fract_z
Tb1 0.000 0.000 0.000
Pu1 0.500 0.500 0.500
Tl1 0.750 0.750 0.750
Zn1 0.250 0.250 0.250
```



(11)
TbTmPu4 | GGA-PBE | optimized geometry

Structure (CIF):
```
data_TbTmPu4
_cell_length_a 6.148
_cell_length_b 6.148
_cell_length_c 6.148
_cell_angle_alpha 60.00
_cell_angle_beta 60.00
_cell_angle_gamma 60.00
_space_group_name_H-M_alt 'P 1'
_space_group_IT_number 1
_space_group_name_Hall 'P 1'
loop_
_atom_site_label
_atom_site_fract_x
_atom_site_fract_y
_atom_site_fract_z
Tb1 0.000 0.000 0.000
Tm1 0.250 0.250 0.250
Pu1 0.125 0.625 0.625
Pu2 0.625 0.125 0.625
Pu3 0.625 0.625 0.125
Pu4 0.625 0.625 0.625
```



(12)
Tb4Tm10Pu | GGA-PBE | optimized geometry

Structure (CIF):
```
data_Tb4Tm10Pu
_cell_length_a 8.747
_cell_length_b 8.747
_cell_length_c 8.747
_cell_angle_alpha 101.08
_cell_angle_beta 101.08
_cell_angle_gamma 127.99
_space_group_name_H-M_alt 'P 1'
_space_group_IT_number 1
_space_group_name_Hall 'P 1'
loop_
_atom_site_label
_atom_site_fract_x
_atom_site_fract_y
_atom_site_fract_z
Tb1 0.230 0.230 0.460
Tb2 0.230 0.770 0.000
Tb3 0.770 0.230 0.000
Tb4 0.770 0.770 0.540
Tm1 0.082 0.289 0.793
Tm2 0.250 0.750 0.500
Tm3 0.289 0.082 0.793
Tm4 0.289 0.496 0.207
Tm5 0.496 0.289 0.207
Tm6 0.504 0.711 0.793
Tm7 0.711 0.504 0.793
Tm8 0.711 0.918 0.207
Tm9 0.750 0.250 0.500
Tm10 0.918 0.711 0.207
Pu1 0.000 0.000 0.000
```



(13)
Tb7Tm4Pu | GGA-PBE | optimized geometry

Structure (CIF):
```
data_Tb7Tm4Pu
_cell_length_a 5.578
_cell_length_b 6.546
_cell_length_c 11.701
_cell_angle_alpha 74.73
_cell_angle_beta 76.22
_cell_angle_gamma 64.81
_space_group_name_H-M_alt 'P 1'
_space_group_IT_number 1
_space_group_name_Hall 'P 1'
loop_
_atom_site_label
_atom_site_fract_x
_atom_site_fract_y
_atom_site_fract_z
Tb1 0.000 0.000 0.000
Tb2 0.050 0.597 0.301
Tb3 0.267 0.695 0.766
Tb4 0.338 0.980 0.339
Tb5 0.552 0.097 0.798
Tb6 0.602 0.710 0.087
Tb7 0.801 0.847 0.550
Tm1 0.093 0.213 0.601
Tm2 0.302 0.344 0.051
Tm3 0.508 0.478 0.505
Tm4 0.759 0.217 0.261
Pu1 0.838 0.482 0.838
```



(14)
Tb5Tm2Pu | GGA-PBE | optimized geometry

Structure (CIF):
```
data_Tb5Tm2Pu
_cell_length_a 6.603
_cell_length_b 6.603
_cell_length_c 11.978
_cell_angle_alpha 101.93
_cell_angle_beta 101.93
_cell_angle_gamma 87.27
_space_group_name_H-M_alt 'P 1'
_space_group_IT_number 1
_space_group_name_Hall 'P 1'
loop_
_atom_site_label
_atom_site_fract_x
_atom_site_fract_y
_atom_site_fract_z
Tb1 0.224 0.776 0.750
Tb2 0.237 0.513 0.981
Tb3 0.252 0.373 0.237
Tb4 0.373 0.252 0.737
Tb5 0.487 0.763 0.519
Tb6 0.513 0.237 0.481
Tb7 0.627 0.748 0.263
Tb8 0.748 0.627 0.763
Tb9 0.763 0.487 0.019
Tb10 0.776 0.224 0.250
Tm1 0.000 0.000 0.000
Tm2 0.000 0.000 0.500
Tm3 0.000 0.500 0.500
Tm4 0.500 0.000 0.000
Pu1 0.138 0.862 0.250
Pu2 0.862 0.138 0.750
```



(15)
TbTm3Pu | GGA-PBE | optimized geometry

Structure (CIF):
```
data_TbTm3Pu
_cell_length_a 6.285
_cell_length_b 6.285
_cell_length_c 8.615
_cell_angle_alpha 108.65
_cell_angle_beta 108.65
_cell_angle_gamma 93.84
_space_group_name_H-M_alt 'P 1'
_space_group_IT_number 1
_space_group_name_Hall 'P 1'
loop_
_atom_site_label
_atom_site_fract_x
_atom_site_fract_y
_atom_site_fract_z
Tb1 0.211 0.211 0.120
Tb2 0.789 0.789 0.880
Tm1 0.114 0.750 0.286
Tm2 0.250 0.886 0.714
Tm3 0.333 0.333 0.567
Tm4 0.667 0.667 0.433
Tm5 0.750 0.114 0.286
Tm6 0.886 0.250 0.714
Pu1 0.350 0.650 0.000
Pu2 0.650 0.350 0.000
```



(16)
Tb8Tm4Pu | GGA-PBE | optimized geometry

Structure (CIF):
```
data_Tb8Tm4Pu
_cell_length_a 7.683
_cell_length_b 7.683
_cell_length_c 7.683
_cell_angle_alpha 90.11
_cell_angle_beta 90.11
_cell_angle_gamma 90.11
_space_group_name_H-M_alt 'P 1'
_space_group_IT_number 1
_space_group_name_Hall 'P 1'
loop_
_atom_site_label
_atom_site_fract_x
_atom_site_fract_y
_atom_site_fract_z
Tb1 0.244 0.244 0.244
Tb2 0.244 0.244 0.755
Tb3 0.244 0.755 0.244
Tb4 0.245 0.756 0.756
Tb5 0.755 0.244 0.244
Tb6 0.756 0.245 0.756
Tb7 0.756 0.756 0.245
Tb8 0.756 0.756 0.756
Tm1 0.000 0.000 0.000
Tm2 0.000 0.500 0.500
Tm3 0.500 0.000 0.500
Tm4 0.500 0.500 0.000
Pu1 0.500 0.500 0.500
```



(17)
Tb3Tm4Pu | GGA-PBE | optimized geometry

Output
**Energy above the lowest structure with this stoichiometry**: 0.000 eV/atom

Structure (CIF):
```
data_Tb3Tm4Pu
_cell_length_a 4.924
_cell_length_b 9.926
_cell_length_c 9.917
_cell_angle_alpha 90.00
_cell_angle_beta 90.00
_cell_angle_gamma 90.00
_space_group_name_H-M_alt 'P 1'
_space_group_IT_number 1
_space_group_name_Hall 'P 1'
loop_
_atom_site_label
_atom_site_fract_x
_atom_site_fract_y
_atom_site_fract_z
Tb1 0.250 0.002 0.125
Tb2 0.250 0.250 0.877
Tb3 0.250 0.498 0.125
Tb4 0.750 0.502 0.875
Tb5 0.750 0.750 0.123
Tb6 0.750 0.998 0.875
Tm1 0.250 0.250 0.376
Tm2 0.250 0.502 0.625
Tm3 0.250 0.750 0.376
Tm4 0.250 0.998 0.625
Tm5 0.750 0.002 0.375
Tm6 0.750 0.250 0.624
Tm7 0.750 0.498 0.375
Tm8 0.750 0.750 0.624
Pu1 0.250 0.750 0.871
Pu2 0.750 0.250 0.129
```



(18)
Tb4Tm7Pu | GGA-PBE | optimized geometry

Structure (CIF):
```
data_Tb4Tm7Pu
_cell_length_a 8.514
_cell_length_b 8.514
_cell_length_c 9.291
_cell_angle_alpha 117.71
_cell_angle_beta 117.71
_cell_angle_gamma 39.68
_space_group_name_H-M_alt 'P 1'
_space_group_IT_number 1
_space_group_name_Hall 'P 1'
loop_
_atom_site_label
_atom_site_fract_x
_atom_site_fract_y
_atom_site_fract_z
Tb1 0.091 0.091 0.457
Tb2 0.235 0.235 0.267
Tb3 0.765 0.765 0.733
Tb4 0.909 0.909 0.543
Tm1 0.000 0.000 0.000
Tm2 0.209 0.209 0.885
Tm3 0.335 0.335 0.661
Tm4 0.437 0.437 0.283
Tm5 0.563 0.563 0.717
Tm6 0.665 0.665 0.339
Tm7 0.791 0.791 0.115
Pu1 0.500 0.500 0.000
```



(19)
Tb5Tm6Pu | GGA-PBE | optimized geometry

Structure (CIF):
```
data_Tb5Tm6Pu
_cell_length_a 10.663
_cell_length_b 10.663
_cell_length_c 10.663
_cell_angle_alpha 160.27
_cell_angle_beta 114.38
_cell_angle_gamma 69.26
_space_group_name_H-M_alt 'P 1'
_space_group_IT_number 1
_space_group_name_Hall 'P 1'
loop_
_atom_site_label
_atom_site_fract_x
_atom_site_fract_y
_atom_site_fract_z
Tb1 0.000 0.000 0.000
Tb2 0.184 0.684 0.500
Tb3 0.351 0.351 0.000
Tb4 0.649 0.649 0.000
Tb5 0.816 0.316 0.500
Tm1 0.084 0.833 0.251
Tm2 0.259 0.500 0.759
Tm3 0.419 0.167 0.251
Tm4 0.581 0.833 0.749
Tm5 0.741 0.500 0.241
Tm6 0.916 0.167 0.749
Pu1 0.500 0.000 0.500
```



(20)
Tb3Tm4Pu | GGA-PBE | optimized geometry

Output
**Energy above the lowest structure with this stoichiometry**: 0.397 eV/atom

Structure (CIF):
```
data_Tb3Tm4Pu
_cell_length_a 8.744
_cell_length_b 8.744
_cell_length_c 3.323
_cell_angle_alpha 90.00
_cell_angle_beta 90.00
_cell_angle_gamma 96.65
_space_group_name_H-M_alt 'P 1'
_space_group_IT_number 1
_space_group_name_Hall 'P 1'
loop_
_atom_site_label
_atom_site_fract_x
_atom_site_fract_y
_atom_site_fract_z
Tb1 0.000 0.000 0.000
Tb2 0.000 0.500 0.500
Tb3 0.500 0.000 0.500
Tm1 0.259 0.741 0.000
Tm2 0.262 0.262 0.500
Tm3 0.738 0.738 0.500
Tm4 0.741 0.259 0.000
Pu1 0.500 0.500 0.000
```



Number 1: VASP energy -41.15 eV/cell, total magnetic moment 11.8 μB/f.u., formation energy from the elements -0.1259 eV per atom. Number 2: VASP energy -26.25 eV/cell, total magnetic moment 6.7 μB/f.u., formation energy from the elements -0.0732 eV per atom. Number 3: VASP energy -45.80 eV/cell, total magnetic moment 12.5 μB/f.u., formation energy from the elements -0.1116 eV per atom. Number 4: VASP energy -33.88 eV/cell, total magnetic moment 6.4 μB/f.u., formation energy from the elements -0.1169 eV per atom. Number 5: VASP energy -78.77 eV/cell, total magnetic moment 6.0 μB/f.u., formation energy from the elements -0.1111 eV per atom. Number 6: VASP energy -49.84 eV/cell, total magnetic moment 6.0 μB/f.u., formation energy from the elements -0.0350 eV per atom. Number 7: VASP energy -55.12 eV/cell, total magnetic moment 6.4 μB/f.u., formation energy from the elements -0.2869 eV per atom. Number 8: VASP energy -25.57 eV/cell, total magnetic moment 6.7 μB/f.u., formation energy from the elements 0.0583 eV per atom. Number 9: VASP energy -27.65 eV/cell, total magnetic moment 7.0 μB/f.u., formation energy from the elements 0.0364 eV per atom. Number 10: VASP energy -23.16 eV/cell, total magnetic moment 6.3 μB/f.u., formation energy from the elements -0.1386 eV per atom. Number 11: VASP energy -65.06 eV/cell, total magnetic moment 22.5 μB/f.u., formation energy from the elements 0.2289 eV per atom. Number 12: VASP energy -73.51 eV/cell, total magnetic moment 6.7 μB/f.u., formation energy from the elements 0.2708 eV per atom. Number 13: VASP energy -63.58 eV/cell, total magnetic moment 6.7 μB/f.u., formation energy from the elements 0.0876 eV per atom. Number 14: VASP energy -89.98 eV/cell, total magnetic moment 6.3 μB/f.u., formation energy from the elements 0.1798 eV per atom. Number 15: VASP energy -63.30 eV/cell, total magnetic moment 5.9 μB/f.u., formation energy from the elements 0.1455 eV per atom. Number 16: VASP energy -62.73 eV/cell, total magnetic moment 6.6 μB/f.u., formation energy from the elements 0.5024 eV per atom. Number 17: VASP energy -91.27 eV/cell, total magnetic moment 6.5 μB/f.u., formation energy from the elements 0.0591 eV per atom. Number 18: VASP energy -61.05 eV/cell, total magnetic moment 7.5 μB/f.u., formation energy from the elements 0.2585 eV per atom. Number 19: VASP energy -62.78 eV/cell, total magnetic moment 7.4 μB/f.u., formation energy from the elements 0.1275 eV per atom. Number 20: VASP energy -42.46 eV/cell, total magnetic moment 7.0 μB/f.u., formation energy from the elements 0.4559 eV per atom.